Density functional theory data (GGA-PBE) for a relaxed RbAc2Au2O6 crystal.

```
RbAc2Au2O6
1.0
6.784 0.000 0.000
2.613 6.326 0.000
3.281 2.286 5.961
Rb Ac Au O
1 2 2 6
direct
0.000 0.000 0.000
0.057 0.323 0.315
0.943 0.677 0.685
0.476 0.705 0.249
0.524 0.295 0.751
0.187 0.606 0.319
0.191 0.357 0.903
0.231 0.915 0.420
0.769 0.085 0.580
0.809 0.643 0.097
0.813 0.394 0.681
```

Values from the calculation:
total energy	-5.731	eV/atom
formation energy from raw total energies	-17.55	eV/f.u.